[1]
## CoReI2 (SCAN)

Data for CoReI2 at its PBEsol-relaxed geometry.

a = 5.733 Å, b = 5.733 Å, c = 7.031 Å
α = 114.06°, β = 114.06°, γ = 90.00°
Site moments in Bohr magnetons follow the coordinates.
Positions (direct):
I 0.397 0.875 0.250  0.01
Co 0.750 0.250 0.500  1.47
Co 0.500 0.500 0.000  1.47
I 0.853 0.375 0.250  0.01
I 0.125 0.147 0.750  0.01
Re 0.250 0.750 0.500  0.32
Re 0.000 0.000 0.000  0.32
I 0.625 0.603 0.750  0.01

As for the raw formation energy: 1.2878 eV per atom. Its crystal system is tetragonal.

[2]
## SrCa3 (SCAN)

Data for SrCa3 at its PBEsol-relaxed geometry.

a = 5.565 Å, b = 5.565 Å, c = 5.565 Å
α = 90.00°, β = 90.00°, γ = 90.00°
Positions (direct):
Ca 0.000 0.500 0.500
Sr 0.000 0.000 0.000
Ca 0.500 0.000 0.500
Ca 0.500 0.500 0.000

The value obtained for the energy of formation is 15 meV/atom. Its crystal system is cubic.

[3]
## Ta2Te5Pd3 (SCAN)

Data for Ta2Te5Pd3 at its PBEsol-relaxed geometry.

a = 3.662 Å, b = 14.069 Å, c = 18.513 Å
α = 90.00°, β = 90.00°, γ = 90.00°
Positions (direct):
Ta 0.750 0.245 0.832
Te 0.750 0.600 0.940
Pd 0.250 0.320 0.189
Ta 0.250 0.755 0.168
Pd 0.750 0.180 0.689
Pd 0.250 0.820 0.311
Ta 0.750 0.249 0.084
Te 0.750 0.635 0.541
Te 0.250 0.105 0.781
Te 0.250 0.611 0.362
Pd 0.250 0.809 0.773
Te 0.750 0.104 0.354
Ta 0.250 0.255 0.332
Te 0.250 0.400 0.060
Te 0.750 0.100 0.560
Ta 0.250 0.751 0.916
Te 0.250 0.365 0.459
Pd 0.250 0.770 0.542
Te 0.250 0.896 0.646
Pd 0.250 0.270 0.958
Te 0.750 0.604 0.146
Te 0.750 0.389 0.638
Ta 0.750 0.745 0.668
Ta 0.250 0.251 0.584
Pd 0.250 0.309 0.727
Te 0.250 0.900 0.440
Pd 0.750 0.230 0.458
Pd 0.750 0.730 0.042
Te 0.250 0.865 0.041
Te 0.250 0.396 0.854
Te 0.250 0.605 0.719
Te 0.250 0.111 0.138
Te 0.750 0.395 0.281
Ta 0.750 0.749 0.416
Pd 0.750 0.680 0.811
Pd 0.750 0.691 0.273
Te 0.750 0.889 0.862
Te 0.750 0.135 0.959
Te 0.750 0.895 0.219
Pd 0.750 0.191 0.227

As for the raw formation energy: -0.4462 eV per atom. Its crystal system is orthorhombic.

[4]
## LiMn2Si2O7 (SCAN)

Data for LiMn2Si2O7 at its PBEsol-relaxed geometry.

a = 4.928 Å, b = 4.928 Å, c = 12.846 Å
α = 92.52°, β = 92.52°, γ = 114.91°
Site moments in Bohr magnetons follow the coordinates.
Positions (direct):
Li 0.665 0.287 0.411  0.00
O 0.274 0.285 0.365  0.05
Si 0.296 0.590 0.135  0.02
Mn 0.970 0.966 0.753  4.52
O 0.685 0.084 0.945  0.03
O 0.689 0.195 0.749  0.03
O 0.732 0.174 0.544  0.02
O 0.195 0.689 0.249  0.03
Li 0.287 0.665 0.911  0.00
Mn 0.966 0.970 0.253  4.52
Si 0.590 0.296 0.635  0.02
O 0.285 0.274 0.865  0.05
O 0.716 0.657 0.638  0.09
O 0.224 0.126 0.624  0.05
O 0.657 0.716 0.138  0.09
O 0.084 0.685 0.445  0.03
Si 0.308 0.628 0.368  0.01
O 0.668 0.865 0.378  0.01
O 0.174 0.732 0.044  0.02
O 0.865 0.668 0.878  0.01
Mn 0.940 0.930 0.009  3.73
O 0.126 0.224 0.124  0.05
Si 0.628 0.308 0.868  0.01
Mn 0.930 0.940 0.509  3.73

As for the raw formation energy: -2.5576 eV per atom. Its crystal system is monoclinic.

| no. | E_tot (eV per atom) | mass density (Mg/m³) |
| --- | --- | --- |
| 1 | -39.1834 | 8.8 |
| 2 | -12.8015 | 2.0 |
| 3 | -42.2207 | 9.2 |
| 4 | -11.1035 | 3.4 |